DFT (PBE-GGA) results for an optimized crystal structure of CsGaPt3.

The space group is Pm-3m (No. 221) and the conventional cell measures 4.8879, 4.8879 and 4.8879 Å, with angles of 90.00, 90.00 and 90.00 degrees. Symmetry generates all atoms from Cs at (0.0000, 0.0000, 0.0000), Ga at (0.5000, 0.5000, 0.5000) and Pt at (0.0000, 0.5000, 0.5000).

The relative energy among the computed polymorphs comes out at 0.00 eV/f.u. Its theoretical density is 11.203 g cm⁻³. The formation energy is 0.320 eV/atom. The density of states at the Fermi level comes out at 2.13 states/eV/cell.

DFT (PBE-GGA) results for an optimized crystal structure of LaPr4Nd2Sm.

The space group is P2/m (No. 10) and the conventional cell measures 6.3953, 3.7104 and 12.3087 Å, with angles of 90.00, 100.32 and 90.00 degrees. Symmetry generates all atoms from La at (0.0000, 0.0000, 0.0000), Pr at (0.2501, 0.5000, 0.2509), Pr at (0.2507, 0.0000, 0.7502), Nd at (0.0000, 0.5000, 0.5000), Nd at (0.5000, 0.0000, 0.5000) and Sm at (0.5000, 0.5000, 0.0000).

Its theoretical density is 6.596 g cm⁻³. The formation energy is 0.015 eV/atom. The density of states at the Fermi level comes out at 14.27 states/eV/cell.

DFT (PBE-GGA) results for an optimized crystal structure of Sr3TaCu.

The space group is Pm-3m (No. 221) and the conventional cell measures 5.7608, 5.7608 and 5.7608 Å, with angles of 90.00, 90.00 and 90.00 degrees. Symmetry generates all atoms from Sr at (0.0000, 0.0000, 0.5000), Ta at (0.5000, 0.5000, 0.5000) and Cu at (0.0000, 0.0000, 0.0000).

The relative energy among the computed polymorphs comes out at 0.00 eV/f.u. Its theoretical density is 4.407 g cm⁻³. The formation energy is 0.931 eV/atom. The density of states at the Fermi level comes out at 3.53 states/eV/cell.

DFT (PBE-GGA) results for an optimized crystal structure of BaAsN2O.

The space group is P4/mmm (No. 123) and the conventional cell measures 3.9285, 3.9285 and 4.3366 Å, with angles of 90.00, 90.00 and 90.00 degrees. Symmetry generates all atoms from Ba at (0.0000, 0.0000, 0.0000), As at (0.5000, 0.5000, 0.5000), N at (0.0000, 0.5000, 0.5000) and O at (0.5000, 0.5000, 0.0000).

Its theoretical density is 6.358 g cm⁻³. The calculation puts the uncorrected formation energy at -0.14 eV/atom. The density of states at the Fermi level comes out at 2.42 states/eV/cell.

DFT (PBE-GGA) results for an optimized crystal structure of GaMo2HRu.

The space group is P4/mmm (No. 123) and the conventional cell measures 3.8999, 3.8999 and 4.1263 Å, with angles of 90.00, 90.00 and 90.00 degrees. Symmetry generates all atoms from Ga at (0.0000, 0.0000, 0.0000), Mo at (0.0000, 0.5000, 0.5000), H at (0.5000, 0.5000, 0.5000) and Ru at (0.5000, 0.5000, 0.0000).

Its theoretical density is 9.623 g cm⁻³. As for the total energy: -7.397 eV/atom. The density of states at the Fermi level comes out at 3.91 states/eV/cell.

DFT (PBE-GGA) results for an optimized crystal structure of TeSO4.

The space group is P222 (No. 16) and the conventional cell measures 5.9835, 6.0742 and 7.4529 Å, with angles of 90.00, 90.00 and 90.00 degrees. Symmetry generates all atoms from Te at (0.0000, 0.0000, 0.0000), Te at (0.0000, 0.5000, 0.5000), S at (0.0000, 0.0000, 0.5000), S at (0.5000, 0.0000, 0.0000), O at (0.1399, 0.1514, 0.3867) and O at (0.3473, 0.1412, 0.8890).

Its theoretical density is 2.742 g cm⁻³. The calculation puts the uncorrected formation energy at -0.74 eV/atom. The density of states at the Fermi level comes out at 3.42 states/eV/cell.

DFT (PBE-GGA) results for an optimized crystal structure of Li2LaHg2.

The space group is P4/mbm (No. 127) and the conventional cell measures 8.2875, 8.2875 and 3.4513 Å, with angles of 90.00, 90.00 and 90.00 degrees. Symmetry generates all atoms from Li at (0.1603, 0.3397, 0.0000), La at (0.0000, 0.0000, 0.5000) and Hg at (0.1307, 0.6307, 0.5000).

The relative energy among the computed polymorphs comes out at 0.67 eV/f.u. Its theoretical density is 7.761 g cm⁻³. The formation energy is -0.240 eV/atom. The density of states at the Fermi level comes out at 7.78 states/eV/cell.

DFT (PBE-GGA) results for an optimized crystal structure of Bi5BrO7.

The space group is Cmce (No. 64) and the conventional cell measures 16.5032, 5.4538 and 23.8312 Å, with angles of 90.00, 90.00 and 90.00 degrees. Symmetry generates all atoms from Bi at (0.0000, 0.2054, 0.2023), Bi at (0.1720, 0.2137, 0.5606), Bi at (0.1757, 0.1841, 0.3094), Br at (0.0000, 0.1576, 0.3951), O at (0.0815, 0.0373, 0.7464), O at (0.1928, 0.1984, 0.6492), O at (0.2041, 0.1657, 0.4506) and O at (0.2500, 0.0233, 0.7500).

Its theoretical density is 7.660 g cm⁻³. The calculation puts the uncorrected formation energy at -1.21 eV/atom. The density of states at the Fermi level comes out at 0.00 states/eV/cell.